# 1
CoHgMo2 | PBE | optimized geometry

Values from the calculation:
Formation enthalpy at 0 K, eV/atom: 0.339
DOS at the Fermi energy, states/eV/atom: 0.602
M_tot, μB per formula unit: 0.0
Uncorrected energy, eV/atom: -6.928

Lattice parameters (Å, degrees): 2.7657 2.7657 8.2108 90.00 90.00 90.00
Fractional positions:
Co1 0.0000 0.0000 0.0000
Hg1 0.5000 0.5000 0.2500
Mo1 0.0000 0.0000 0.5353
Mo2 0.5000 0.5000 0.8057

***

# 2
Pr2LuZr | PBE | optimized geometry

Values from the calculation:
Formation enthalpy at 0 K, eV/atom: 0.171
Energy above the most stable polymorph in this dataset, eV/atom: 0.000
DOS at the Fermi energy, states/eV/atom: 1.281
M_tot, μB per formula unit: 0.0
Uncorrected energy, eV/atom: -5.486

Lattice parameters (Å, degrees): 4.0842 4.0842 7.3026 90.00 90.00 90.00
Fractional positions:
Pr1 0.0000 0.0000 0.2301
Pr2 0.0000 0.0000 0.7699
Lu1 0.5000 0.5000 0.5000
Zr1 0.5000 0.5000 0.0000